DFT (PBE-GGA) results for AcZnCdPd2 after structural relaxation.

Energy of formation in meV/atom: -503
D(E_F) in states/eV/cell: 4.32
Space-group type: No. 67
Calculated volume in Å³/atom: 22.65
Density in g/cm³: 9.055
Crystal system: orthorhombic

a = 7.4123 Å, b = 7.4123 Å, c = 5.7524 Å
α = 90.00°, β = 90.00°, γ = 134.21°
Element x y z (fractional)
Ac 0.2500 0.7500 0.7534
Ac 0.7500 0.2500 0.2466
Zn 0.0000 0.0000 0.0000
Zn 0.5000 0.5000 0.0000
Cd 0.2500 0.2500 0.5000
Cd 0.7500 0.7500 0.5000
Pd 0.1494 0.8506 0.2561
Pd 0.3506 0.6494 0.2561
Pd 0.6494 0.3506 0.7439
Pd 0.8506 0.1494 0.7439